# 1
# AcLaNi2P2

A relaxed structure of AcLaNi2P2 (PBE, the Alexandria database).

Computed properties:
VASP energy	-6.356	eV per atom
total magnetic moment	0.000	μB/cell
DFT formation energy	-648	kJ/mol of formula units

Cell and atoms, written as CIF:
```
data_AcLaNi2P2
_chemical_formula_sum 'Ac1 La1 Ni2 P2'
_space_group_name_H-M_alt 'P -3 m 1'
_space_group_IT_number 164
_space_group_name_Hall '-P 3 2"'
_cell_length_a 4.0602
_cell_length_b 4.0602
_cell_length_c 8.4082
_cell_angle_alpha 90.00
_cell_angle_beta 90.00
_cell_angle_gamma 120.00
loop_
_atom_site_label
_atom_site_fract_x
_atom_site_fract_y
_atom_site_fract_z
Ac1 0.0000 0.0000 0.0000
La1 0.0000 0.0000 0.5000
Ni1 0.3333 0.6667 0.7449
P1 0.3333 0.6667 0.2602
```

# 2
# AcLaNiPb

A relaxed structure of AcLaNiPb (PBE, the Alexandria database).

Computed properties:
VASP energy	-4.865	eV per atom
total magnetic moment	0.000	μB/cell
DFT formation energy	-90	kJ/mol of formula units

Cell and atoms, written as CIF:
```
data_AcLaNiPb
_chemical_formula_sum 'Ac4 La4 Ni4 Pb4'
_space_group_name_H-M_alt 'F -4 3 m'
_space_group_IT_number 216
_space_group_name_Hall 'F -4 2 3'
_cell_length_a 7.816
_cell_length_b 7.816
_cell_length_c 7.816
_cell_angle_alpha 90.00
_cell_angle_beta 90.00
_cell_angle_gamma 90.00
loop_
_atom_site_label
_atom_site_fract_x
_atom_site_fract_y
_atom_site_fract_z
Ac1 0.000 0.000 0.000
La1 0.000 0.000 0.500
Ni1 0.250 0.250 0.750
Pb1 0.250 0.250 0.250
```

# 3
# AcLaNiPt

A relaxed structure of AcLaNiPt (PBE, the Alexandria database).

Computed properties:
VASP energy	-5.816	eV per atom
total magnetic moment	0.000	μB/cell
DFT formation energy	-232	kJ/mol of formula units
distance to the lowest polymorph of the same formula	123	meV per atom

Cell and atoms, written as CIF:
```
data_AcLaNiPt
_chemical_formula_sum 'Ac4 La4 Ni4 Pt4'
_space_group_name_H-M_alt 'F -4 3 m'
_space_group_IT_number 216
_space_group_name_Hall 'F -4 2 3'
_cell_length_a 7.360
_cell_length_b 7.360
_cell_length_c 7.360
_cell_angle_alpha 90.00
_cell_angle_beta 90.00
_cell_angle_gamma 90.00
loop_
_atom_site_label
_atom_site_fract_x
_atom_site_fract_y
_atom_site_fract_z
Ac1 0.000 0.000 0.000
La1 0.000 0.000 0.500
Ni1 0.250 0.250 0.750
Pt1 0.250 0.250 0.250
```